No. 1
Material: In2NiRu
Method: DFT, PBE
State: optimized geometry

Cell and atoms, written as POSCAR:
```
In2NiRu
1.0
-2.7257 -0.8579 -1.9248
-0.0254 -3.1333 1.4326
-3.5578 1.9376 4.1747
In Ni Ru
2 1 1
Cartesian
-2.4178 -1.4280 0.9768
-3.4179 1.8613 4.0104
-1.7320 0.9433 2.0323
-4.0780 -0.5239 2.9249
```

Properties
Formation energy from the elements: 5.0 kcal/mol of atoms
Total magnetic moment: 0.0 μB per cell
Calculated total energy: -19.67 eV for the cell shown

---

No. 2
Material: TmTh2Al12Ni3
Method: DFT, PBE
State: optimized geometry

Cell and atoms, written as POSCAR:
```
TmTh2Al12Ni3
1.0
7.8680 -0.3005 -0.2131
3.6243 6.9899 -0.2131
3.6243 2.1097 6.6674
Al Th Ni Tm
12 2 3 1
Cartesian
3.8084 3.9967 0.9489
11.3082 6.5823 2.7828
6.4141 6.6924 1.6117
11.3082 4.8024 5.2922
3.8084 2.2168 3.4583
5.3561 1.3378 0.9489
8.7025 5.0656 0.4578
6.4141 3.7336 5.7833
6.1296 6.5268 4.6294
8.7025 2.1067 4.6294
9.7605 7.4613 5.2922
8.9870 2.2723 1.6117
8.7935 5.1185 3.6305
6.3231 3.6806 2.6106
3.9340 -0.1502 -0.1066
1.8122 3.4950 -0.1066
1.8122 1.0548 3.3337
0.0000 0.0000 0.0000
```

Properties
Formation energy from the elements: 0.1 kcal/mol of atoms
Total magnetic moment: 0.0 μB per cell
Calculated total energy: -81.48 eV for the cell shown

---

No. 3
Material: Ce2Y
Method: DFT, PBE
State: optimized geometry

Cell and atoms, written as POSCAR:
```
Ce2Y
1.0
-1.2690 -0.6690 -3.1302
-1.1564 -3.0440 1.1194
-5.1802 4.9919 2.9270
Ce Y
2 1
Cartesian
-3.4354 -0.7664 -0.3373
-4.1702 2.0453 1.2535
0.0000 0.0000 0.0000
```

Properties
Formation energy from the elements: 1.9 kcal/mol of atoms
Total magnetic moment: 0.0 μB per cell
Calculated total energy: -18.08 eV for the cell shown
Energy relative to the lowest polymorph listed for this composition: 0.0 meV/atom

---

No. 4
Material: Ca2DyPb
Method: DFT, PBE
State: optimized geometry

Cell and atoms, written as POSCAR:
```
Ca2DyPb
1.0
5.1625 0.0000 0.0000
0.0000 4.9146 0.0000
0.0000 0.0000 4.9146
Dy Pb Ca
1 1 2
Cartesian
2.5813 0.0000 0.0000
2.5813 2.4573 2.4573
0.0000 2.4573 0.0000
0.0000 0.0000 2.4573
```

Properties
Formation energy from the elements: -6.4 kcal/mol of atoms
Total magnetic moment: 0.0 μB per cell
Calculated total energy: -13.43 eV for the cell shown
Energy relative to the lowest polymorph listed for this composition: 0.0 meV/atom